NaLiGd | PBE | relaxed

Its formation energy is 186 meV per atom.

The structure belongs to space group I4mm (No. 107); the cell edges are 3.322, 3.322 and 15.978 Å and the angles 90.00°, 90.00° and 90.00°. The distinct sites, in fractional coordinates, are Na at (0.000, 0.000, 0.000), Li at (0.000, 0.000, 0.658) and Gd at (0.000, 0.000, 0.312).